(1)
Compound: Tb2Mn2Co15
Source: Alexandria via LeMat-Bulk
Functional: PBE
Structure: relaxed

a = 8.3487 Å, b = 8.3487 Å, c = 12.1950 Å
α = 90.00°, β = 90.00°, γ = 120.00°
Space group R-3m (No. 166, hexagonal axes)
One atom of each set of equivalent atoms:
Tb  0.0000  0.0000  0.1519 [6 per cell]
Mn  0.0000  0.0000  0.3955 [6 per cell]
Co  0.0000  0.2873  0.5000 [18 per cell]
Co  0.0000  0.5000  0.0000 [9 per cell]
Co  0.0017  0.5009  0.6517 [18 per cell]

---

(2)
Compound: Tb2MnCo2
Source: Alexandria via LeMat-Bulk
Functional: PBE
Structure: relaxed

a = 9.381 Å, b = 5.395 Å, c = 7.465 Å
α = 90.00°, β = 103.55°, γ = 90.00°
Space group C2/c (No. 15)
One atom of each set of equivalent atoms:
Tb  0.148  0.135  0.148 [8 per cell]
Mn  0.000  0.384  0.750 [4 per cell]
Co  0.137  0.362  0.503 [8 per cell]

---

(3)
Compound: TbTmMnCo
Source: Alexandria via LeMat-Bulk
Functional: PBE
Structure: relaxed

a = 6.869 Å, b = 6.869 Å, c = 6.869 Å
α = 90.00°, β = 90.00°, γ = 90.00°
Space group F-43m (No. 216)
One atom of each set of equivalent atoms:
Tb  0.000  0.000  0.000 [4 per cell]
Tm  0.000  0.000  0.500 [4 per cell]
Mn  0.250  0.250  0.250 [4 per cell]
Co  0.250  0.250  0.750 [4 per cell]

---

(4)
Compound: MnCo6Tc
Source: Alexandria via LeMat-Bulk
Functional: PBE
Structure: relaxed

a = 7.090 Å, b = 10.033 Å, c = 10.016 Å
α = 90.00°, β = 90.00°, γ = 90.00°
Space group Cmmm (No. 65)
One atom of each set of equivalent atoms:
Mn  0.000  0.000  0.248 [4 per cell]
Mn  0.000  0.252  0.000 [4 per cell]
Co  0.000  0.000  0.000 [2 per cell]
Co  0.000  0.000  0.500 [2 per cell]
Co  0.000  0.250  0.250 [8 per cell]
Co  0.000  0.500  0.000 [2 per cell]
Co  0.000  0.500  0.500 [2 per cell]
Co  0.249  0.125  0.124 [16 per cell]
Co  0.250  0.126  0.375 [16 per cell]
Tc  0.000  0.251  0.500 [4 per cell]
Tc  0.000  0.500  0.247 [4 per cell]

---

(5)
Compound: Mn4CoTc
Source: Alexandria via LeMat-Bulk
Functional: PBE
Structure: relaxed

a = 6.526 Å, b = 6.526 Å, c = 6.526 Å
α = 90.00°, β = 90.00°, γ = 90.00°
Space group F-43m (No. 216)
One atom of each set of equivalent atoms:
Mn  0.123  0.123  0.377 [16 per cell]
Co  0.250  0.250  0.750 [4 per cell]
Tc  0.000  0.000  0.000 [4 per cell]

---

(6)
Compound: Mn2CoTc
Source: Alexandria via LeMat-Bulk
Functional: PBE
Structure: relaxed

a = 2.544 Å, b = 4.397 Å, c = 9.293 Å
α = 90.00°, β = 90.00°, γ = 90.00°
Space group Immm (No. 71)
One atom of each set of equivalent atoms:
Mn  0.000  0.000  0.244 [4 per cell]
Co  0.000  0.000  0.000 [2 per cell]
Tc  0.000  0.000  0.500 [2 per cell]

---

(7)
Compound: Mn2CoTc
Source: Alexandria via LeMat-Bulk
Functional: PBE
Structure: relaxed

a = 3.633 Å, b = 3.633 Å, c = 7.262 Å
α = 90.00°, β = 90.00°, γ = 90.00°
Space group I-4m2 (No. 119)
One atom of each set of equivalent atoms:
Mn  0.000  0.000  0.000 [2 per cell]
Mn  0.000  0.500  0.250 [2 per cell]
Co  0.000  0.000  0.500 [2 per cell]
Tc  0.000  0.500  0.750 [2 per cell]

---

(8)
Compound: MnCoTc
Source: Alexandria via LeMat-Bulk
Functional: PBE
Structure: relaxed

a = 3.665 Å, b = 10.736 Å, c = 3.654 Å
α = 90.00°, β = 90.00°, γ = 90.00°
Space group Cmcm (No. 63)
One atom of each set of equivalent atoms:
Mn  0.000  0.249  0.250 [4 per cell]
Co  0.000  0.416  0.750 [4 per cell]
Tc  0.000  0.091  0.750 [4 per cell]

---

Listing ΔH_f (0 K) for the structures above in their given order: -1.7 -0.7 0.2 0.6 0.6 2.6 0.1 0.2 eV per formula unit.
Listing theoretical density for the structures above in their given order: 8.88 8.87 9.05 9.45 9.00 8.52 9.24 9.79 g cm⁻³.
Listing energy for the structures above in their given order: -7.15 -6.66 -6.29 -7.69 -8.93 -8.30 -8.93 -8.82 eV/atom.